La2Tb4Y2Tm after structural relaxation. Source: the Alexandria database, functional PBE.

Unit cell a=18.816 b=3.629 c=9.635 alpha=90.00 beta=115.68 gamma=90.00
Space group C2/m (No. 12)
One atom of each set of equivalent atoms:
La1 0.165 0.000 0.000 x4
Tb1 0.020 0.000 0.335 x4
Tb2 0.185 0.500 0.337 x4
Y1 0.147 0.500 0.662 x4
Tm1 0.000 0.500 0.000 x2

## Properties
Crystal system: monoclinic
E_tot: -91.5 eV per cell

=====

AgTeI3 after structural relaxation. Source: the Alexandria database, functional PBE.

Unit cell a=6.102 b=8.645 c=10.112 alpha=100.17 beta=105.60 gamma=103.16
Space group P-1 (No. 2)
One atom of each set of equivalent atoms:
Ag1 0.088 0.026 0.193 x2
Te1 0.171 0.488 0.134 x2
I1 0.121 0.329 0.364 x2
I2 0.192 0.786 0.333 x2
I3 0.336 0.194 0.020 x2

## Properties
Crystal system: triclinic
Energy above the most stable polymorph in this dataset: 0.045 eV/atom
E_tot: -22.0 eV per cell
ΔE_f (raw): -0.07 eV/atom

=====

BaCaIr2 after structural relaxation. Source: the Alexandria database, functional PBE.

Unit cell a=4.682 b=4.682 c=4.189 alpha=90.00 beta=90.00 gamma=90.00
Space group P4/mmm (No. 123)
One atom of each set of equivalent atoms:
Ba1 0.000 0.000 0.000 x1
Ca1 0.500 0.500 0.000 x1
Ir1 0.000 0.500 0.500 x2

## Properties
Crystal system: tetragonal
Energy above the most stable polymorph in this dataset: 0.548 eV/atom
E_tot: -20.5 eV per cell

=====

CuReC2 after structural relaxation. Source: the Alexandria database, functional PBE.

Unit cell a=5.328 b=5.328 c=5.328 alpha=90.00 beta=90.00 gamma=90.00
Space group Fm-3m (No. 225)
One atom of each set of equivalent atoms:
Cu1 0.000 0.000 0.000 x4
Re1 0.000 0.000 0.500 x4
C1 0.250 0.250 0.250 x8

## Properties
Crystal system: cubic
Energy above the most stable polymorph in this dataset: 0.801 eV/atom
E_tot: -114.1 eV per cell

=====

As2IrPt after structural relaxation. Source: the Alexandria database, functional PBE.

Unit cell a=3.021 b=3.021 c=8.023 alpha=90.00 beta=90.00 gamma=90.00
Space group P4mm (No. 99)
One atom of each set of equivalent atoms:
As1 0.000 0.000 0.000 x1
As2 0.500 0.500 0.385 x1
Ir1 0.000 0.000 0.558 x1
Pt1 0.500 0.500 0.820 x1

## Properties
Crystal system: tetragonal
Energy above the most stable polymorph in this dataset: 0.046 eV/atom
E_tot: -24.4 eV per cell

=====

KInBiPb after structural relaxation. Source: the Alexandria database, functional PBE.

Unit cell a=5.3710 b=5.3710 c=18.8192 alpha=90.00 beta=90.00 gamma=120.00
Space group R3m (No. 160, hexagonal axes)
One atom of each set of equivalent atoms:
K1 0.0000 0.0000 0.0000 x3
In1 0.0000 0.0000 0.4628 x3
Bi1 0.0000 0.0000 0.2070 x3
Pb1 0.0000 0.0000 0.7994 x3

## Properties
Crystal system: trigonal
Energy above the most stable polymorph in this dataset: 0.000 eV/atom
E_tot: -35.1 eV per cell

=====

V2NiB2 after structural relaxation. Source: the Alexandria database, functional PBE.

Unit cell a=5.475 b=5.475 c=3.150 alpha=90.00 beta=90.00 gamma=90.00
Space group P4/mbm (No. 127)
One atom of each set of equivalent atoms:
V1 0.177 0.323 0.000 x4
Ni1 0.000 0.000 0.500 x2
B1 0.114 0.614 0.500 x4

## Properties
Crystal system: tetragonal
Energy above the most stable polymorph in this dataset: 0.000 eV/atom
E_tot: -80.8 eV per cell

=====

Ho6Cu5 after structural relaxation. Source: the Alexandria database, functional PBE.

Unit cell a=4.867 b=6.875 c=14.550 alpha=90.00 beta=90.00 gamma=90.00
Space group Immm (No. 71)
One atom of each set of equivalent atoms:
Ho1 0.000 0.249 0.000 x4
Ho2 0.000 0.250 0.335 x8
Cu1 0.000 0.000 0.169 x4
Cu2 0.000 0.500 0.171 x4
Cu3 0.000 0.500 0.500 x2

## Properties
Crystal system: orthorhombic
E_tot: -100.0 eV per cell

=====

Er6ZnBi2 after structural relaxation. Source: the Alexandria database, functional PBE.

Unit cell a=6.843 b=6.843 c=13.549 alpha=90.00 beta=90.00 gamma=90.00
Space group P4_2/mnm (No. 136)
One atom of each set of equivalent atoms:
Er1 0.191 0.191 0.149 x8
Er2 0.214 0.214 0.500 x4
Zn1 0.000 0.000 0.000 x2
Bi1 0.000 0.000 0.329 x4

## Properties
Crystal system: tetragonal
E_tot: -72.6 eV per cell

=====

Tl2InBSe4 after structural relaxation. Source: the Alexandria database, functional PBE.

Unit cell a=10.286 b=8.508 c=7.277 alpha=90.00 beta=134.97 gamma=90.00
Space group C2 (No. 5)
One atom of each set of equivalent atoms:
Tl1 0.000 0.000 0.000 x2
Tl2 0.000 0.250 0.500 x2
In1 0.000 0.751 0.500 x2
B1 0.000 0.501 0.000 x2
Se1 0.147 0.623 0.946 x4
Se2 0.201 0.379 0.348 x4

## Properties
Crystal system: monoclinic
E_tot: -61.4 eV per cell
ΔE_f (raw): -0.32 eV/atom

=====

Tb2Nd2Sm15 after structural relaxation. Source: the Alexandria database, functional PBE.

Unit cell a=11.3151 b=11.3151 c=17.9826 alpha=90.00 beta=90.00 gamma=120.00
Space group R-3m (No. 166, hexagonal axes)
One atom of each set of equivalent atoms:
Tb1 0.0000 0.0000 0.0935 x6
Nd1 0.0000 0.0000 0.3223 x6
Sm1 0.0000 0.2956 0.0000 x18
Sm2 0.0000 0.5000 0.5000 x9
Sm3 0.0172 0.5086 0.1347 x18

## Properties
Crystal system: trigonal
E_tot: -253.9 eV per cell

=====

LaI after structural relaxation. Source: the Alexandria database, functional PBE.

Unit cell a=4.0135 b=4.0135 c=11.1673 alpha=90.00 beta=90.00 gamma=120.00
Space group P6_3mc (No. 186)
One atom of each set of equivalent atoms:
La1 0.3333 0.6667 0.0000 x2
I1 0.3333 0.6667 0.7096 x2

## Properties
Crystal system: hexagonal
E_tot: -16.4 eV per cell
ΔE_f (raw): -0.85 eV/atom